(1)
CuReIr2 after structural relaxation, computed with GGA-PBE.

a b c (Å): 8.820 8.820 8.820
angles (deg): 17.95 17.95 17.95
Sites, in units of the cell vectors:
Cu 0.000 0.000 0.000
Re 0.500 0.500 0.500
Ir 0.250 0.250 0.250
Ir 0.750 0.750 0.750

Properties
Formation enthalpy at 0 K = -0.015 eV/atom
Space-group type = No. 166
Distance to the lowest polymorph of the same formula = 0.079 eV/atom


(2)
CuReIr2 after structural relaxation, computed with GGA-PBE.

a b c (Å): 2.707 2.707 9.026
angles (deg): 90.00 90.00 118.32
Sites, in units of the cell vectors:
Cu 0.000 0.000 0.000
Re 0.000 0.000 0.500
Ir 0.500 0.500 0.248
Ir 0.500 0.500 0.752

Properties
Formation enthalpy at 0 K = 0.256 eV/atom
Space-group type = No. 65
Distance to the lowest polymorph of the same formula = 0.350 eV/atom


(3)
CuReIr2 after structural relaxation, computed with GGA-PBE.

a b c (Å): 8.921 8.921 8.921
angles (deg): 17.66 17.66 17.66
Sites, in units of the cell vectors:
Cu 0.000 0.000 0.000
Re 0.750 0.750 0.750
Ir 0.252 0.252 0.252
Ir 0.498 0.498 0.498

Properties
Formation enthalpy at 0 K = 0.076 eV/atom
Space-group type = No. 160
Distance to the lowest polymorph of the same formula = 0.170 eV/atom


(4)
Cu2ReIr after structural relaxation, computed with GGA-PBE.

a b c (Å): 8.830 8.830 8.830
angles (deg): 17.56 17.56 17.56
Sites, in units of the cell vectors:
Cu 0.250 0.250 0.250
Cu 0.750 0.750 0.750
Re 0.000 0.000 0.000
Ir 0.500 0.500 0.500

Properties
Formation enthalpy at 0 K = 0.225 eV/atom
Space-group type = No. 166
Distance to the lowest polymorph of the same formula = 0.161 eV/atom